The following is a DFT calculation (GGA-PBE) of a relaxed structure of Li3Ag5.

Cell lengths 7.022, 8.724, 4.330 Å; angles 90.00, 90.00, 90.00 degrees
Element x y z (fractional)
Li: 0.000 0.000 0.000
Li: 0.000 0.270 0.500
Li: 0.000 0.730 0.500
Li: 0.500 0.230 0.500
Li: 0.500 0.500 0.000
Li: 0.500 0.770 0.500
Ag: 0.000 0.500 0.000
Ag: 0.221 0.000 0.500
Ag: 0.250 0.250 0.000
Ag: 0.250 0.750 0.000
Ag: 0.279 0.500 0.500
Ag: 0.500 0.000 0.000
Ag: 0.721 0.500 0.500
Ag: 0.750 0.250 0.000
Ag: 0.750 0.750 0.000
Ag: 0.779 0.000 0.500

## Properties
* calculated volume: 16.6 Å³/atom
* crystal system: orthorhombic
* formation energy: -0.17 eV per atom
* symmetry: Cmmm, No. 65
* ΔE to the lowest computed polymorph: 0.00 eV per formula unit
* DFT total energy: -2.67 eV per atom